Li4Cr3GaO8 | PBE with a Hubbard U | relaxed

Calculated values
E_tot: -105.5 eV per cell
Total moment: 9.0 Bohr magnetons per cell
Mass density: 4.3 g/cm3
Space group: C2/m, No. 12
N(E_F): 0.00 states/eV/f.u.
V: 9.25 Å³ per atom

a = 5.1366 Å, b = 5.9314 Å, c = 5.9445 Å
α = 119.93°, β = 106.76°, γ = 90.00°
Closest atoms and distances in Å follow each position.
Sites, in units of the cell vectors:
Li  0.5002  0.7500  0.5001  6 O 2.17-2.18
Li  0.4998  0.2500  0.4999  6 O 2.17-2.18
Li  0.0000  0.0000  0.5000  6 O 2.17
Li  0.0000  0.5000  0.5000  6 O 2.17
Cr  0.0000  0.0000  0.0000  6 O 2.03
Cr  0.5000  0.7495  0.0000  6 O 2.03
Cr  0.5000  0.2505  0.0000  6 O 2.03
Ga  0.0000  0.5000  0.0000  6 O 2.03
O  0.2571  0.3872  0.7745  1 Ga 2.03, 2 Cr 2.03, 3 Li 2.17
O  0.7429  0.6128  0.2255  1 Ga 2.03, 2 Cr 2.03, 3 Li 2.17
O  0.2587  0.8880  0.7760  3 Cr 2.03, 3 Li 2.17-2.18
O  0.7413  0.1120  0.2240  3 Cr 2.03, 3 Li 2.17-2.18
O  0.7586  0.1381  0.7748  1 Ga 2.03, 2 Cr 2.03, 3 Li 2.17
O  0.2414  0.8619  0.2252  1 Ga 2.03, 2 Cr 2.03, 3 Li 2.17
O  0.2414  0.3633  0.2252  1 Ga 2.03, 2 Cr 2.03, 3 Li 2.17
O  0.7586  0.6367  0.7748  1 Ga 2.03, 2 Cr 2.03, 3 Li 2.17